1.
Entry from Alexandria via LeMat-Bulk: Li2NbGeN4 after structural relaxation (GGA-PBE).

abc: 4.7603 4.7595 5.6269
angles: 115.02 115.02 90.00
Closest atoms and distances in Å follow each position.
Fractional positions:
1 Li 0.4859 0.9859 0.9717  4 N 2.13
2 Li 0.2360 0.2360 0.4719  4 N 2.17
3 Nb 0.9859 0.4859 0.9718  4 N 1.96
4 Ge 0.7358 0.7358 0.4717  4 N 1.87
5 N 0.6510 0.6193 0.7169  1 Ge 1.87, 1 Nb 1.96
6 N 0.8525 0.4058 0.2266  1 Ge 1.87, 1 Nb 1.96
7 N 0.3741 0.8208 0.2266  1 Ge 1.87, 1 Nb 1.96
8 N 0.0659 0.0976 0.7169  1 Ge 1.87, 1 Nb 1.96

Calculated values
Symmetry: No. 82
E_tot, eV per cell: -54.68

2.
Entry from Alexandria via LeMat-Bulk: Li3Np3GeN8 after structural relaxation (GGA-PBE).

abc: 6.7986 6.7943 6.3239
angles: 122.53 90.00 120.02
Closest atoms and distances in Å follow each position.
Fractional positions:
1 Li 0.0000 0.0000 0.0000  6 N 2.40-2.53
2 Li 0.0000 0.5000 0.0000  6 N 2.40-2.54
3 Li 0.5000 0.5000 0.0000  6 N 2.40-2.54
4 Np 0.5000 0.0000 0.5000  6 N 2.13-2.25
5 Np 0.5000 0.5000 0.5000  6 N 2.13-2.25
6 Np 0.0000 0.5000 0.5000  6 N 2.13-2.25
7 Ge 0.0000 0.0000 0.5000  6 N 2.30
8 N 0.2594 0.5188 0.2778  3 Np 2.25, 3 Li 2.40
9 N 0.7406 0.4812 0.7222  3 Np 2.25, 3 Li 2.40
10 N 0.7579 0.5158 0.3067  2 Np 2.13, 1 Ge 2.30
11 N 0.2421 0.4842 0.6933  2 Np 2.13, 1 Ge 2.30
12 N 0.7581 0.0486 0.3065  2 Np 2.13, 1 Ge 2.30
13 N 0.2419 0.9514 0.6935  2 Np 2.13, 1 Ge 2.30
14 N 0.2905 0.0486 0.3065  2 Np 2.13, 1 Ge 2.30
15 N 0.7095 0.9514 0.6935  2 Np 2.13, 1 Ge 2.30

Calculated values
Symmetry: No. 166
E_tot, eV per cell: -123.63

3.
Entry from Alexandria via LeMat-Bulk: Li2NpGeN4 after structural relaxation (GGA-PBE).

abc: 3.2796 5.2505 5.4375
angles: 107.34 90.00 90.00
Closest atoms and distances in Å follow each position.
Fractional positions:
1 Li 0.5000 0.0000 0.5000  6 N 2.19-2.40
2 Li 0.0000 0.5000 0.5000  6 N 2.21-2.43
3 Np 0.5000 0.5000 0.0000  6 N 2.13-2.17
4 Ge 0.0000 0.0000 0.0000  6 N 2.11-2.14
5 N 0.5000 0.2194 0.2140  1 Np 2.13, 2 Ge 2.14, 1 Li 2.19
6 N 0.5000 0.7806 0.7860  1 Np 2.13, 2 Ge 2.14, 1 Li 2.19
7 N 0.0000 0.2710 0.7809  1 Ge 2.11, 2 Np 2.17, 1 Li 2.21
8 N 0.0000 0.7290 0.2191  1 Ge 2.11, 2 Np 2.17, 1 Li 2.21

Calculated values
Symmetry: No. 10
E_tot, eV per cell: -58.23